A plane-wave DFT calculation with PBE-GGA was carried out for KNa3Pb2 after structural relaxation.

Lattice parameters (Å, degrees): 3.584 5.911 18.458 90.00 90.00 90.00
Fractional coordinates of all 12 atoms:
K (0.005, 0.500, 0.500)
K (0.995, 0.000, 0.000)
Na (0.500, 0.500, 0.695)
Na (0.501, 0.000, 0.500)
Na (0.500, 0.500, 0.305)
Na (0.500, 0.000, 0.195)
Na (0.499, 0.500, 0.000)
Na (0.500, 0.000, 0.805)
Pb (0.000, 0.000, 0.648)
Pb (0.000, 0.000, 0.352)
Pb (0.000, 0.500, 0.148)
Pb (0.000, 0.500, 0.852)

Distance to the lowest polymorph of the same formula: 0.0 kJ per mole of atoms
ΔH_f (0 K): -0.08 eV per atom